PBE-GGA BaTaRe2, relaxed; density = 15.010 g/cm³; calculated volume = 19.1 A^3/atom; uncorrected energy = -33.60 eV per cell; space group = F-43m, No. 216
1.0
0.000 3.368 3.368
3.368 0.000 3.368
3.368 3.368 0.000
Ba Ta Re
1 1 2
Cartesian
0.000 0.000 0.000
5.052 5.052 5.052
1.684 1.684 1.684
3.368 3.368 3.368

---

PBE-GGA LiDyMnIr, relaxed; density = 9.773 g/cm³; calculated volume = 17.7 A^3/atom; uncorrected energy = -25.56 eV per cell; space group = F-43m, No. 216
1.0
0.000 3.283 3.283
3.283 0.000 3.283
3.283 3.283 0.000
Li Dy Mn Ir
1 1 1 1
Cartesian
0.000 0.000 0.000
4.925 4.925 4.925
1.642 1.642 1.642
3.283 3.283 3.283